The following is a GGA-PBE calculation of K2BeVN after structural relaxation, from Alexandria via LeMat-Bulk.

The structure in POSCAR format:
```
K2BeVN
1.0
6.348 0.000 0.000
0.000 6.348 0.000
0.000 0.000 4.391
K Be V N
2 1 1 1
Direct
0.000 0.500 0.000 K
0.500 0.000 0.000 K
0.000 0.000 0.500 Be
0.000 0.000 0.000 V
0.500 0.500 0.500 N
```

Calculated values
Its density of states at the Fermi level is 1.2087 states/eV/atom. The calculation puts the formation energy from raw total energies at 2.066 eV/atom. For the spin magnetization, the calculation gives 2.56 Bohr magnetons per cell.